Entry 1:
The following is a DFT calculation (PBE-GGA) of a relaxed structure of TiS2O8.

a b c (Å): 9.1014 9.1014 9.1014
angles (deg): 55.19 55.19 55.19
Sites, in units of the cell vectors:
Ti 0.0000 0.0000 0.0000
Ti 0.2014 0.2014 0.2014
Ti 0.7015 0.7015 0.7015
S 0.0887 0.3952 0.8151
S 0.3166 0.8814 0.5994
S 0.3952 0.8151 0.0887
S 0.5994 0.3166 0.8814
S 0.8151 0.0887 0.3952
S 0.8814 0.5994 0.3166
O 0.0527 0.4236 0.2798
O 0.0970 0.2100 0.8459
O 0.1045 0.3625 0.9892
O 0.1550 0.9412 0.7690
O 0.2100 0.8459 0.0970
O 0.2274 0.4626 0.6375
O 0.2798 0.0527 0.4236
O 0.3234 0.7119 0.6176
O 0.3625 0.9892 0.1045
O 0.4236 0.2798 0.0527
O 0.4626 0.6375 0.2274
O 0.4980 0.8647 0.5867
O 0.5346 0.8308 0.8833
O 0.5867 0.4980 0.8647
O 0.6176 0.3234 0.7119
O 0.6375 0.2274 0.4626
O 0.7119 0.6176 0.3234
O 0.7690 0.1550 0.9412
O 0.8308 0.8833 0.5346
O 0.8459 0.0970 0.2100
O 0.8647 0.5867 0.4980
O 0.8833 0.5346 0.8308
O 0.9412 0.7690 0.1550
O 0.9892 0.1045 0.3625

Calculated values
E_form (uncorrected) = -1.7065 eV/atom

---

Entry 2:
The following is a DFT calculation (PBE-GGA) of a relaxed structure of NaPIr2O8.

a b c (Å): 5.2240 5.2240 6.1708
angles (deg): 90.00 90.00 120.00
Sites, in units of the cell vectors:
Na 0.0000 0.0000 0.0000
P 0.0000 0.0000 0.5000
Ir 0.3333 0.6667 0.4434
Ir 0.6667 0.3333 0.5566
O 0.1581 0.3162 0.6578
O 0.1581 0.8419 0.6578
O 0.3162 0.1581 0.3422
O 0.3333 0.6667 0.1652
O 0.6667 0.3333 0.8348
O 0.6838 0.8419 0.6578
O 0.8419 0.1581 0.3422
O 0.8419 0.6838 0.3422

Calculated values
E_form (uncorrected) = -0.6729 eV/atom

---

Sequential uncorrected energy output: -74.6 -72.2 eV per formula unit